Record 1
Below is a relaxed V2NiSe4 crystal, with properties calculated at the GGA-PBEsol level.

Values from the calculation:
Crystal system: monoclinic
Raw formation energy, eV per atom: -0.654
Symmetry: C2/m (12)

Lattice parameters (Å, degrees): 6.556 6.556 6.068 115.60 115.60 29.38
Atoms (fractional coordinates):
V: 0.244 0.244 0.186
V: 0.756 0.756 0.814
Ni: 0.500 0.500 0.500
Se: 0.139 0.139 0.476
Se: 0.398 0.398 0.057
Se: 0.602 0.602 0.943
Se: 0.861 0.861 0.524



Record 2
Below is a relaxed LiSe3 crystal, with properties calculated at the GGA-PBEsol level.

Values from the calculation:
Crystal system: cubic
Raw formation energy, eV per atom: -0.456
Symmetry: Im-3m (229)

Lattice parameters (Å, degrees): 4.669 4.669 4.669 109.47 109.47 109.47
Atoms (fractional coordinates):
Li: 0.000 0.000 0.000
Se: 0.000 0.500 0.500
Se: 0.500 0.000 0.500
Se: 0.500 0.500 0.000



Record 3
Below is a relaxed Hg2POs crystal, with properties calculated at the GGA-PBEsol level.

Values from the calculation:
Crystal system: monoclinic
Symmetry: C2/m (12)
Calculated formation energy, eV per atom: 0.810

Lattice parameters (Å, degrees): 5.745 5.745 3.183 104.81 104.81 125.89
Atoms (fractional coordinates):
Hg: 0.000 0.500 0.000
Hg: 0.500 0.000 0.000
P: 0.000 0.000 0.000
Os: 0.500 0.500 0.000



Record 4
Below is a relaxed AlCdTe2 crystal, with properties calculated at the GGA-PBEsol level.

Values from the calculation:
Crystal system: tetragonal
Raw formation energy, eV per atom: 0.065
Symmetry: P4/mmm (123)

Lattice parameters (Å, degrees): 3.596 3.596 7.423 90.00 90.00 90.00
Atoms (fractional coordinates):
Al: 0.000 0.000 0.000
Cd: 0.000 0.000 0.500
Te: 0.500 0.500 0.231
Te: 0.500 0.500 0.769



Record 5
Below is a relaxed KLi3Si12Sn2O30 crystal, with properties calculated at the GGA-PBEsol level.

Values from the calculation:
Crystal system: hexagonal
Raw formation energy, eV per atom: -2.623
Symmetry: P6/mcc (192)

Lattice parameters (Å, degrees): 10.099 10.099 14.305 90.00 90.00 120.00
Atoms (fractional coordinates):
K: 0.000 0.000 0.250
K: 0.000 0.000 0.750
Li: 0.000 0.500 0.250
Li: 0.000 0.500 0.750
Li: 0.500 0.000 0.250
Li: 0.500 0.000 0.750
Li: 0.500 0.500 0.250
Li: 0.500 0.500 0.750
Si: 0.117 0.355 0.111
Si: 0.117 0.355 0.889
Si: 0.117 0.762 0.389
Si: 0.117 0.762 0.611
Si: 0.238 0.355 0.389
Si: 0.238 0.355 0.611
Si: 0.238 0.883 0.111
Si: 0.238 0.883 0.889
Si: 0.355 0.117 0.389
Si: 0.355 0.117 0.611
Si: 0.355 0.238 0.111
Si: 0.355 0.238 0.889
Si: 0.645 0.762 0.111
Si: 0.645 0.762 0.889
Si: 0.645 0.883 0.389
Si: 0.645 0.883 0.611
Si: 0.762 0.117 0.111
Si: 0.762 0.117 0.889
Si: 0.762 0.645 0.389
Si: 0.762 0.645 0.611
Si: 0.883 0.238 0.389
Si: 0.883 0.238 0.611
Si: 0.883 0.645 0.111
Si: 0.883 0.645 0.889
Sn: 0.333 0.667 0.250
Sn: 0.333 0.667 0.750
Sn: 0.667 0.333 0.250
Sn: 0.667 0.333 0.750
O: 0.057 0.279 0.363
O: 0.057 0.279 0.637
O: 0.057 0.778 0.137
O: 0.057 0.778 0.863
O: 0.130 0.394 0.000
O: 0.130 0.736 0.500
O: 0.158 0.504 0.172
O: 0.158 0.504 0.828
O: 0.158 0.654 0.328
O: 0.158 0.654 0.672
O: 0.222 0.279 0.137
O: 0.222 0.279 0.863
O: 0.222 0.943 0.363
O: 0.222 0.943 0.637
O: 0.264 0.394 0.500
O: 0.264 0.870 0.000
O: 0.279 0.057 0.137
O: 0.279 0.057 0.863
O: 0.279 0.222 0.363
O: 0.279 0.222 0.637
O: 0.346 0.504 0.328
O: 0.346 0.504 0.672
O: 0.346 0.842 0.172
O: 0.346 0.842 0.828
O: 0.394 0.130 0.500
O: 0.394 0.264 0.000
O: 0.496 0.654 0.172
O: 0.496 0.654 0.828
O: 0.496 0.842 0.328
O: 0.496 0.842 0.672
O: 0.504 0.158 0.328
O: 0.504 0.158 0.672
O: 0.504 0.346 0.172
O: 0.504 0.346 0.828
O: 0.606 0.736 0.000
O: 0.606 0.870 0.500
O: 0.654 0.158 0.172
O: 0.654 0.158 0.828
O: 0.654 0.496 0.328
O: 0.654 0.496 0.672
O: 0.721 0.778 0.363
O: 0.721 0.778 0.637
O: 0.721 0.943 0.137
O: 0.721 0.943 0.863
O: 0.736 0.130 0.000
O: 0.736 0.606 0.500
O: 0.778 0.057 0.363
O: 0.778 0.057 0.637
O: 0.778 0.721 0.137
O: 0.778 0.721 0.863
O: 0.842 0.346 0.328
O: 0.842 0.346 0.672
O: 0.842 0.496 0.172
O: 0.842 0.496 0.828
O: 0.870 0.264 0.500
O: 0.870 0.606 0.000
O: 0.943 0.222 0.137
O: 0.943 0.222 0.863
O: 0.943 0.721 0.363
O: 0.943 0.721 0.637



Record 6
Below is a relaxed Sc2MnAs crystal, with properties calculated at the GGA-PBEsol level.

Values from the calculation:
Crystal system: trigonal
Symmetry: R-3m (166)
Calculated formation energy, eV per atom: 0.091

Lattice parameters (Å, degrees): 8.607 8.607 8.607 23.41 23.41 23.41
Atoms (fractional coordinates):
Sc: 0.101 0.101 0.101
Sc: 0.899 0.899 0.899
Mn: 0.000 0.000 0.000
As: 0.500 0.500 0.500



Record 7
Below is a relaxed CsTl2P2 crystal, with properties calculated at the GGA-PBEsol level.

Values from the calculation:
Crystal system: tetragonal
Symmetry: I4/mmm (139)
Calculated formation energy, eV per atom: -0.110

Lattice parameters (Å, degrees): 6.656 6.656 6.656 135.78 135.78 64.32
Atoms (fractional coordinates):
Cs: 0.000 0.000 0.000
Tl: 0.250 0.750 0.500
Tl: 0.750 0.250 0.500
P: 0.406 0.406 0.000
P: 0.594 0.594 0.000



Record 8
Below is a relaxed TiCdI2O crystal, with properties calculated at the GGA-PBEsol level.

Values from the calculation:
Crystal system: tetragonal
Raw formation energy, eV per atom: -0.979
Symmetry: P4/mmm (123)

Lattice parameters (Å, degrees): 5.659 5.659 3.737 90.00 90.00 90.00
Atoms (fractional coordinates):
Ti: 0.000 0.000 0.000
Cd: 0.500 0.500 0.500
I: 0.000 0.500 0.000
I: 0.500 0.000 0.000
O: 0.000 0.000 0.500



Record 9
Below is a relaxed CoSiRh2 crystal, with properties calculated at the GGA-PBEsol level.

Values from the calculation:
Crystal system: orthorhombic
Raw formation energy, eV per atom: -0.393
Symmetry: Amm2 (38)

Lattice parameters (Å, degrees): 3.793 4.965 4.965 31.65 90.00 90.00
Atoms (fractional coordinates):
Co: 0.000 0.000 0.000
Si: 0.500 0.861 0.861
Rh: 0.000 0.267 0.267
Rh: 0.500 0.600 0.600



Record 10
Below is a relaxed CaTa2Tc crystal, with properties calculated at the GGA-PBEsol level.

Values from the calculation:
Crystal system: cubic
Symmetry: Fm-3m (225)
Calculated formation energy, eV per atom: 0.550

Lattice parameters (Å, degrees): 4.643 4.643 4.643 60.00 60.00 60.00
Atoms (fractional coordinates):
Ca: 0.000 0.000 0.000
Ta: 0.250 0.250 0.250
Ta: 0.750 0.750 0.750
Tc: 0.500 0.500 0.500



Calculated density (g/cm³), listed in the same order as above: 6.91, 5.17, 14.68, 6.83, 2.93, 4.13, 7.09, 5.97, 9.91, 11.73